Record 1
Below is a relaxed LaMnAu3 crystal, with properties calculated at the PBEsol level.

Cell: 5.436 5.436 5.436 Å, 90.00 90.00 90.00°
Atoms (fractional coordinates):
Au 0.000 0.000 0.500
Au 0.000 0.500 0.000
Au 0.500 0.000 0.000
Mn 0.500 0.500 0.500
La 0.000 0.000 0.000

Summary:
- Formation energy from the elements: 961 meV per atom

Record 2
Below is a relaxed Y2BiN crystal, with properties calculated at the PBEsol level.

Cell: 6.293 6.293 6.293 Å, 102.27 113.19 113.19°
Atoms (fractional coordinates):
Y 0.397 0.875 0.772
Y 0.603 0.375 0.478
N 0.000 0.500 0.500
Bi 0.000 0.000 0.000
Y 0.897 0.522 0.125
Bi 0.500 0.750 0.250
Y 0.103 0.228 0.625
N 0.500 0.250 0.750

Summary:
- Uncorrected formation energy: -4.780 eV/f.u.